No. 1
Density functional theory data (PBE) for a relaxed structure of Cd3Ni.

The magnetic moment comes out at 0.0 Bohr magnetons per cell. Its calculated formation energy is 175 meV per atom. The value obtained for the energy is -1.9567 eV per atom.

Unit cell a=5.3273 b=5.3273 c=5.3273 alpha=90.00 beta=90.00 gamma=90.00
Atoms (fractional coordinates):
Cd 0.0000 0.2500 0.5000
Cd 0.0000 0.7500 0.5000
Cd 0.2500 0.5000 0.0000
Cd 0.5000 0.0000 0.2500
Cd 0.5000 0.0000 0.7500
Cd 0.7500 0.5000 0.0000
Ni 0.0000 0.0000 0.0000
Ni 0.5000 0.5000 0.5000

=====

No. 2
Density functional theory data (PBE) for a relaxed structure of Tl2Ag5F12.

The magnetic moment comes out at 0.3 Bohr magnetons per cell. The value obtained for the energy relative to the lowest polymorph listed for this composition is 0 meV per atom. The value obtained for the energy is -3.5324 eV per atom.

Unit cell a=6.8178 b=6.8598 c=8.5209 alpha=102.92 beta=90.00 gamma=119.80
Atoms (fractional coordinates):
Tl 0.7532 0.0000 0.0000
Tl 0.2468 0.0000 0.0000
Ag 0.2990 0.5981 0.6257
Ag 0.2992 0.5984 0.2902
Ag 0.0000 0.0000 0.5000
Ag 0.7008 0.4016 0.7098
Ag 0.7010 0.4019 0.3743
F 0.9589 0.9178 0.1511
F 0.0803 0.6531 0.8474
F 0.5728 0.6531 0.8474
F 0.1040 0.7393 0.4692
F 0.6353 0.7393 0.4692
F 0.5410 0.0819 0.8494
F 0.4590 0.9181 0.1506
F 0.8960 0.2607 0.5308
F 0.3647 0.2607 0.5308
F 0.9197 0.3469 0.1526
F 0.4272 0.3469 0.1526
F 0.0411 0.0822 0.8489